1.
Material: Nb2HW
Method: DFT, meta-GGA SCAN
State: PBEsol geometry

Values from the calculation:
Energy in Ry per atom: -2.5082

Cell and atoms, written as CIF:
```
data_Nb2HW
_chemical_formula_sum 'Nb8 H4 W4'
_cell_length_a 6.2092
_cell_length_b 6.2092
_cell_length_c 6.2092
_cell_angle_alpha 90.00
_cell_angle_beta 90.00
_cell_angle_gamma 90.00
_space_group_name_H-M_alt 'F m -3 m'
_space_group_IT_number 225
_space_group_name_Hall '-F 4 2 3'
loop_
_atom_site_label
_atom_site_type_symbol
_atom_site_fract_x
_atom_site_fract_y
_atom_site_fract_z
Nb1 Nb 0.2500 0.2500 0.2500
H1 H 0.0000 0.0000 0.0000
W1 W 0.0000 0.0000 0.5000
```

2.
Material: CoSNCl2
Method: DFT, meta-GGA SCAN
State: PBEsol geometry

Values from the calculation:
ΔE_f (raw) in eV per atom: 0.879
Energy in Ry per atom: -0.7024

Cell and atoms, written as CIF:
```
data_CoSNCl2
_chemical_formula_sum 'Co1 S1 N1 Cl2'
_cell_length_a 4.6791
_cell_length_b 4.6791
_cell_length_c 4.1132
_cell_angle_alpha 90.00
_cell_angle_beta 90.00
_cell_angle_gamma 90.00
_space_group_name_H-M_alt 'P 4/m m m'
_space_group_IT_number 123
_space_group_name_Hall '-P 4 2'
loop_
_atom_site_label
_atom_site_type_symbol
_atom_site_fract_x
_atom_site_fract_y
_atom_site_fract_z
Co1 Co 0.0000 0.0000 0.0000
S1 S 0.0000 0.0000 0.5000
N1 N 0.5000 0.5000 0.5000
Cl1 Cl 0.0000 0.5000 0.0000
```

3.
Material: LaReHg2
Method: DFT, meta-GGA SCAN
State: PBEsol geometry

Values from the calculation:
ΔH_f (0 K) in eV/atom: 0.4703
Relative energy among the computed polymorphs in eV/f.u.: 0.496
Energy in Ry per atom: -4.5689

Cell and atoms, written as CIF:
```
data_LaReHg2
_chemical_formula_sum 'La1 Re1 Hg2'
_cell_length_a 2.9720
_cell_length_b 2.9720
_cell_length_c 9.2248
_cell_angle_alpha 90.00
_cell_angle_beta 90.00
_cell_angle_gamma 90.00
_space_group_name_H-M_alt 'P 4/m m m'
_space_group_IT_number 123
_space_group_name_Hall '-P 4 2'
loop_
_atom_site_label
_atom_site_type_symbol
_atom_site_fract_x
_atom_site_fract_y
_atom_site_fract_z
La1 La 0.0000 0.0000 0.0000
Re1 Re 0.0000 0.0000 0.5000
Hg1 Hg 0.5000 0.5000 0.2793
```

4.
Material: Y2TaW
Method: DFT, meta-GGA SCAN
State: PBEsol geometry

Values from the calculation:
ΔH_f (0 K) in eV/atom: 0.5093
Relative energy among the computed polymorphs in eV/f.u.: 0.676
Energy in Ry per atom: -3.4897

Cell and atoms, written as CIF:
```
data_Y2TaW
_chemical_formula_sum 'Y4 Ta2 W2'
_cell_length_a 8.7058
_cell_length_b 3.1775
_cell_length_c 6.7400
_cell_angle_alpha 90.00
_cell_angle_beta 95.30
_cell_angle_gamma 90.00
_space_group_name_H-M_alt 'C 1 m 1'
_space_group_IT_number 8
_space_group_name_Hall 'C -2y'
loop_
_atom_site_label
_atom_site_type_symbol
_atom_site_fract_x
_atom_site_fract_y
_atom_site_fract_z
Y1 Y 0.0000 0.0000 0.0000
Y2 Y 0.2268 0.0000 0.6563
Ta1 Ta 0.4750 0.0000 0.4017
W1 W 0.2439 0.5000 0.2466
```

5.
Material: Hg5Pb4
Method: DFT, meta-GGA SCAN
State: PBEsol geometry

Values from the calculation:
ΔH_f (0 K) in eV/atom: 0.0643
Relative energy among the computed polymorphs in eV/f.u.: 0.280
Energy in Ry per atom: -5.2541

Cell and atoms, written as CIF:
```
data_Hg5Pb4
_chemical_formula_sum 'Hg10 Pb8'
_cell_length_a 9.1986
_cell_length_b 9.1986
_cell_length_c 6.4302
_cell_angle_alpha 90.00
_cell_angle_beta 90.00
_cell_angle_gamma 120.00
_space_group_name_H-M_alt 'P 63/m c m'
_space_group_IT_number 193
_space_group_name_Hall '-P 6c 2'
loop_
_atom_site_label
_atom_site_type_symbol
_atom_site_fract_x
_atom_site_fract_y
_atom_site_fract_z
Hg1 Hg 0.0000 0.3014 0.2500
Hg2 Hg 0.3333 0.6667 0.0000
Pb1 Pb 0.0000 0.0000 0.0000
Pb2 Pb 0.0000 0.3700 0.7500
```

6.
Material: Li2ZnRu
Method: DFT, meta-GGA SCAN
State: PBEsol geometry

Values from the calculation:
ΔH_f (0 K) in eV/atom: -0.0400
Energy in Ry per atom: -0.9790

Cell and atoms, written as CIF:
```
data_Li2ZnRu
_chemical_formula_sum 'Li2 Zn1 Ru1'
_cell_length_a 2.6870
_cell_length_b 4.3816
_cell_length_c 4.4864
_cell_angle_alpha 90.00
_cell_angle_beta 90.00
_cell_angle_gamma 90.00
_space_group_name_H-M_alt 'P m m m'
_space_group_IT_number 47
_space_group_name_Hall '-P 2 2'
loop_
_atom_site_label
_atom_site_type_symbol
_atom_site_fract_x
_atom_site_fract_y
_atom_site_fract_z
Li1 Li 0.0000 0.0000 0.0000
Li2 Li 0.5000 0.5000 0.0000
Zn1 Zn 0.0000 0.5000 0.5000
Ru1 Ru 0.5000 0.0000 0.5000
```

7.
Material: FeRh2Cl
Method: DFT, meta-GGA SCAN
State: PBEsol geometry

Values from the calculation:
ΔE_f (raw) in eV per atom: 0.363
Energy in Ry per atom: -1.6941

Cell and atoms, written as CIF:
```
data_FeRh2Cl
_chemical_formula_sum 'Fe2 Rh4 Cl2'
_cell_length_a 2.7423
_cell_length_b 4.0118
_cell_length_c 10.6373
_cell_angle_alpha 90.00
_cell_angle_beta 90.00
_cell_angle_gamma 90.00
_space_group_name_H-M_alt 'I m m m'
_space_group_IT_number 71
_space_group_name_Hall '-I 2 2'
loop_
_atom_site_label
_atom_site_type_symbol
_atom_site_fract_x
_atom_site_fract_y
_atom_site_fract_z
Fe1 Fe 0.0000 0.0000 0.0000
Rh1 Rh 0.0000 0.5000 0.2933
Cl1 Cl 0.0000 0.0000 0.5000
```

8.
Material: TaN2
Method: DFT, meta-GGA SCAN
State: PBEsol geometry

Values from the calculation:
ΔE_f (raw) in eV per atom: -0.131
Energy in Ry per atom: -2.0962

Cell and atoms, written as CIF:
```
data_TaN2
_chemical_formula_sum 'Ta2 N4'
_cell_length_a 5.3976
_cell_length_b 5.3976
_cell_length_c 2.7846
_cell_angle_alpha 90.00
_cell_angle_beta 90.00
_cell_angle_gamma 120.00
_space_group_name_H-M_alt 'P 6/m m m'
_space_group_IT_number 191
_space_group_name_Hall '-P 6 2'
loop_
_atom_site_label
_atom_site_type_symbol
_atom_site_fract_x
_atom_site_fract_y
_atom_site_fract_z
Ta1 Ta 0.3333 0.6667 0.0000
N1 N 0.0000 0.0000 0.5000
N2 N 0.0000 0.5000 0.5000
```